Record 1
# InTc2Ru

A geometry-optimized InTc2Ru structure (PBE, Alexandria).

Computed properties:
For the total energy, the calculation gives -7.93 eV per atom.

```
InTc2Ru
1.0
-1.6283 2.1342 4.5117
1.6283 -2.1342 4.5117
1.6283 2.1342 -4.5117
In Tc Ru
1 2 1
Direct
0.0000 0.0000 0.0000
0.2506 0.7506 0.5000
0.7494 0.2494 0.5000
0.5000 0.5000 0.0000
```

---

Record 2
# InTcTe2Ru

A geometry-optimized InTcTe2Ru structure (PBE, Alexandria).

Computed properties:
The value obtained for the formation energy (no corrections) is 1.7530 eV per atom.

```
InTcTe2Ru
1.0
5.5632 0.0000 0.0000
0.0000 5.5632 0.0000
0.0000 0.0000 4.9901
In Tc Te Ru
1 1 2 1
Direct
0.0000 0.0000 0.0000
0.5000 0.5000 0.5000
0.0000 0.5000 0.0000
0.5000 0.0000 0.0000
0.0000 0.0000 0.5000
```

---

Record 3
# UInTcRu

A geometry-optimized UInTcRu structure (PBE, Alexandria).

Computed properties:
For the total energy, the calculation gives -8.49 eV per atom.

```
UInTcRu
1.0
0.0000 3.3155 3.3155
3.3155 0.0000 3.3155
3.3155 3.3155 0.0000
U In Tc Ru
1 1 1 1
Direct
0.0000 0.0000 0.0000
0.5000 0.5000 0.5000
0.7500 0.7500 0.7500
0.2500 0.2500 0.2500
```

---

Record 4
# VInTcRu

A geometry-optimized VInTcRu structure (PBE, Alexandria).

Computed properties:
For the total energy, the calculation gives -7.87 eV per atom.

```
VInTcRu
1.0
0.0000 3.1334 3.1334
3.1334 0.0000 3.1334
3.1334 3.1334 0.0000
V In Tc Ru
1 1 1 1
Direct
0.0000 0.0000 0.0000
0.5000 0.5000 0.5000
0.7500 0.7500 0.7500
0.2500 0.2500 0.2500
```

---

Record 5
# InTcRuW

A geometry-optimized InTcRuW structure (PBE, Alexandria).

Computed properties:
For the total energy, the calculation gives -8.74 eV per atom.

```
InTcRuW
1.0
0.0000 3.1727 3.1727
3.1727 0.0000 3.1727
3.1727 3.1727 0.0000
In Tc Ru W
1 1 1 1
Direct
0.0000 0.0000 0.0000
0.2500 0.2500 0.2500
0.7500 0.7500 0.7500
0.5000 0.5000 0.5000
```

---

Record 6
# InTcRuW2

A geometry-optimized InTcRuW2 structure (PBE, Alexandria).

Computed properties:
For the total energy, the calculation gives -6.65 eV per atom.

```
InTcRuW2
1.0
4.7991 0.0000 0.0000
0.0000 4.7991 0.0000
0.0000 0.0000 4.6879
In Tc Ru W
1 1 1 2
Direct
0.0000 0.0000 0.0000
0.0000 0.0000 0.5000
0.5000 0.5000 0.5000
0.0000 0.5000 0.0000
0.5000 0.0000 0.0000
```

---

Record 7
# In2TeRu

A geometry-optimized In2TeRu structure (PBE, Alexandria).

Computed properties:
The value obtained for the formation energy (no corrections) is 0.3999 eV per atom.

```
In2TeRu
1.0
-2.1764 2.1764 4.4941
2.1764 -2.1764 4.4941
2.1764 2.1764 -4.4941
In Te Ru
2 1 1
Direct
0.2500 0.7500 0.5000
0.7500 0.2500 0.5000
0.0000 0.0000 0.0000
0.5000 0.5000 0.0000
```

---

Record 8
# InTe2Ru

A geometry-optimized InTe2Ru structure (PBE, Alexandria).

Computed properties:
The value obtained for the formation energy (no corrections) is 0.1250 eV per atom.

```
InTe2Ru
1.0
-1.5990 2.3845 6.4194
1.5990 -2.3845 6.4194
1.5990 2.3845 -6.4194
In Te Ru
1 2 1
Direct
0.0000 0.0000 0.0000
0.3639 0.3639 0.0000
0.6652 0.1652 0.5000
0.1986 0.6986 0.5000
```

---

Record 9
# In2TeRu

A geometry-optimized In2TeRu structure (PBE, Alexandria).

Computed properties:
The value obtained for the formation energy (no corrections) is 0.3904 eV per atom.

```
In2TeRu
1.0
2.9157 -5.2315 0.0000
2.9157 5.2315 0.0000
-2.0914 0.0000 2.9118
In Te Ru
2 1 1
Direct
0.0000 0.5000 0.0000
0.5000 0.0000 0.0000
0.0000 0.0000 0.5000
0.5000 0.5000 0.5000
```

---

Record 10
# In2TeRu

A geometry-optimized In2TeRu structure (PBE, Alexandria).

Computed properties:
The value obtained for the formation energy (no corrections) is 0.4344 eV per atom.

```
In2TeRu
1.0
3.5618 0.0000 0.0000
0.0000 4.9245 0.0000
0.0000 0.0000 4.9507
In Te Ru
2 1 1
Direct
0.0000 0.0000 0.0000
0.5000 0.0000 0.5000
0.0000 0.5000 0.5000
0.5000 0.5000 0.0000
```

---

Record 11
# InTe2Ru

A geometry-optimized InTe2Ru structure (PBE, Alexandria).

Computed properties:
The value obtained for the formation energy (no corrections) is 0.0774 eV per atom.

```
InTe2Ru
1.0
-3.2887 3.2887 6.0485
3.2887 -3.2887 6.0485
3.2887 3.2887 -6.0485
In Te Ru
2 4 2
Direct
0.0000 0.0000 0.0000
0.7500 0.2500 0.5000
0.1881 0.6250 0.0631
0.3750 0.4381 0.5631
0.5619 0.1250 0.9369
0.8750 0.8119 0.4369
0.2500 0.7500 0.5000
0.5000 0.5000 0.0000
```

---

Record 12
# InTe2Ru

A geometry-optimized InTe2Ru structure (PBE, Alexandria).

Computed properties:
The value obtained for the formation energy (no corrections) is 0.0095 eV per atom.

```
InTe2Ru
1.0
-1.6087 2.2950 6.9144
1.6087 -2.2950 6.9144
1.6087 2.2950 -6.9144
In Te Ru
1 2 1
Direct
0.0000 0.0000 0.0000
0.3374 0.8374 0.5000
0.6626 0.1626 0.5000
0.5000 0.5000 0.0000
```

---

Record 13
# InTe2Ru

A geometry-optimized InTe2Ru structure (PBE, Alexandria).

Computed properties:
The value obtained for the formation energy (no corrections) is 0.4819 eV per atom.

```
InTe2Ru
1.0
3.2036 -3.9327 0.0000
3.2036 3.9327 0.0000
0.0000 0.0000 3.5816
In Te Ru
1 2 1
Direct
0.0000 0.0000 0.0000
0.0000 0.5000 0.5000
0.5000 0.0000 0.5000
0.5000 0.5000 0.0000
```

---

Record 14
# In2TeRu

A geometry-optimized In2TeRu structure (PBE, Alexandria).

Computed properties:
The value obtained for the formation energy (no corrections) is 0.1662 eV per atom.

```
In2TeRu
1.0
-1.5890 2.2578 6.6294
1.5890 -2.2578 6.6294
1.5890 2.2578 -6.6294
In Te Ru
2 1 1
Direct
0.1822 0.1822 0.0000
0.8178 0.8178 0.0000
0.5000 0.0000 0.5000
0.0000 0.5000 0.5000
```

---

Record 15
# In2TeRu

A geometry-optimized In2TeRu structure (PBE, Alexandria).

Computed properties:
The value obtained for the formation energy (no corrections) is 0.0430 eV per atom.

```
In2TeRu
1.0
3.1645 0.0000 0.0000
0.0000 3.2826 0.0000
0.0000 0.0000 8.9042
In Te Ru
2 1 1
Direct
0.0000 0.0000 0.1799
0.0000 0.0000 0.8201
0.0000 0.5000 0.5000
0.5000 0.5000 0.0000
```

---

Record 16
# InTe4Ru

A geometry-optimized InTe4Ru structure (PBE, Alexandria).

Computed properties:
The value obtained for the formation energy (no corrections) is 0.9002 eV per atom.

```
InTe4Ru
1.0
0.0000 4.4854 4.4854
4.4854 0.0000 4.4854
4.4854 4.4854 0.0000
In Te Ru
1 4 1
Direct
0.0000 0.0000 0.0000
0.3757 0.3757 0.3757
0.3757 0.3757 0.8728
0.3757 0.8728 0.3757
0.8728 0.3757 0.3757
0.7500 0.7500 0.7500
```

---

Record 17
# InTe2Ru

A geometry-optimized InTe2Ru structure (PBE, Alexandria).

Computed properties:
The value obtained for the formation energy (no corrections) is 0.6124 eV per atom.

```
InTe2Ru
1.0
4.4975 0.0000 0.0000
0.0000 4.4975 0.0000
0.0000 0.0000 4.5345
In Te Ru
1 2 1
Direct
0.0000 0.0000 0.0000
0.0000 0.5000 0.5000
0.5000 0.0000 0.5000
0.5000 0.5000 0.0000
```

---

Record 18
# InTe2Ru

A geometry-optimized InTe2Ru structure (PBE, Alexandria).

Computed properties:
The value obtained for the formation energy (no corrections) is 0.5804 eV per atom.

```
InTe2Ru
1.0
3.7516 0.0000 0.0000
0.0000 4.5892 0.0000
0.0000 0.0000 5.4078
In Te Ru
1 2 1
Direct
0.0000 0.0000 0.0000
0.0000 0.5000 0.5000
0.5000 0.5000 0.0000
0.5000 0.0000 0.5000
```

---

Record 19
# InTe2Ru

A geometry-optimized InTe2Ru structure (PBE, Alexandria).

Computed properties:
The value obtained for the formation energy (no corrections) is 0.0090 eV per atom.

```
InTe2Ru
1.0
1.7465 1.0084 9.8050
-1.7465 1.0084 9.8050
0.0000 -2.0167 9.8050
In Te Ru
1 2 1
Direct
0.0000 0.0000 0.0000
0.5428 0.5428 0.5428
0.7488 0.7488 0.7488
0.2642 0.2642 0.2642
```

---

Record 20
# In2TeRu

A geometry-optimized In2TeRu structure (PBE, Alexandria).

Computed properties:
The value obtained for the formation energy (no corrections) is 0.3863 eV per atom.

```
In2TeRu
1.0
-2.2847 2.2847 4.1331
2.2847 -2.2847 4.1331
2.2847 2.2847 -4.1331
In Te Ru
2 1 1
Direct
0.0000 0.0000 0.0000
0.7500 0.2500 0.5000
0.5000 0.5000 0.0000
0.2500 0.7500 0.5000
```

---

Spin magnetization? In order: 0.00, 6.01, 0.76, 0.00, 0.00, 0.88, 0.00, 0.00, 0.00, 0.00, 0.00, 0.00, 0.00, 0.00, 0.00, 3.09, 0.00, 0.80, 0.00, 0.00 μB/f.u..